Entry 1:
# Pm5Y6Er

Crystalline Pm5Y6Er at its relaxed geometry (PBE, Alexandria).

Total DFT energy (no corrections) = -66.94 eV/cell
Energy of formation from the pure elements = 0.01 eV/atom
D(E_F) = 15.606 states/eV/f.u.
M_tot = 0.000 μB per atom

Cell lengths 11.877, 6.241, 6.238 Å; angles 59.98, 85.00, 79.97 degrees
Atoms (fractional coordinates):
Pm  0.500  0.833  0.333
Y  0.751  0.083  0.333
Er  0.000  0.000  0.000
Y  0.751  0.415  0.667
Pm  0.500  0.167  0.667
Pm  0.000  0.666  0.667
Y  0.249  0.250  0.000
Y  0.249  0.917  0.667
Y  0.751  0.750  0.000
Pm  0.000  0.334  0.333
Y  0.249  0.585  0.333
Pm  0.500  0.500  0.000


Entry 2:
# Pm5Y5Er2

Crystalline Pm5Y5Er2 at its relaxed geometry (PBE, Alexandria).

Total DFT energy (no corrections) = -63.26 eV/cell
Energy of formation from the pure elements = 0.16 eV/atom
D(E_F) = 17.695 states/eV/f.u.
M_tot = 0.000 μB per atom

Cell lengths 6.064, 6.065, 14.494 Å; angles 102.01, 86.96, 129.03 degrees
Atoms (fractional coordinates):
Pm  0.500  0.000  0.500
Y  0.828  0.740  0.568
Er  0.842  0.947  0.789
Y  0.540  0.262  0.803
Pm  0.838  0.493  0.330
Er  0.158  0.053  0.211
Pm  0.276  0.646  0.922
Pm  0.724  0.354  0.078
Y  0.172  0.260  0.432
Pm  0.162  0.507  0.670
Y  0.000  0.000  0.000
Y  0.460  0.738  0.197


Please write out number 1 again, unchanged.
# Pm5Y6Er

Crystalline Pm5Y6Er at its relaxed geometry (PBE, Alexandria).

Total DFT energy (no corrections) = -66.94 eV/cell
Energy of formation from the pure elements = 0.01 eV/atom
D(E_F) = 15.606 states/eV/f.u.
M_tot = 0.000 μB per atom

Cell lengths 11.877, 6.241, 6.238 Å; angles 59.98, 85.00, 79.97 degrees
Atoms (fractional coordinates):
Pm  0.500  0.833  0.333
Y  0.751  0.083  0.333
Er  0.000  0.000  0.000
Y  0.751  0.415  0.667
Pm  0.500  0.167  0.667
Pm  0.000  0.666  0.667
Y  0.249  0.250  0.000
Y  0.249  0.917  0.667
Y  0.751  0.750  0.000
Pm  0.000  0.334  0.333
Y  0.249  0.585  0.333
Pm  0.500  0.500  0.000


Question: Look up the D(E_F) of the first one.
Answer: 15.606 states/eV/f.u.